# 1
Material: BaSr2NpO6
Method: DFT, GGA-PBE
State: relaxed

Values from the calculation:
**Magnetization**: 1.00 μB/cell
**Space group**: No. 146
**Uncorrected formation energy**: -2.915 eV per atom

```
BaSr2NpO6
1.0
3.123 1.803 5.363
-3.123 1.803 5.363
0.000 -3.606 5.363
Ba Sr Np O
1 2 1 6
direct
0.000 0.000 0.000
0.267 0.267 0.267
0.779 0.779 0.779
0.482 0.482 0.482
0.140 0.658 0.400
0.240 0.581 0.821
0.400 0.140 0.658
0.581 0.821 0.240
0.658 0.400 0.140
0.821 0.240 0.581
```


# 2
Material: NaCoAs
Method: DFT, GGA-PBE
State: relaxed

Values from the calculation:
**N(E_F)**: 0.85 states/eV per cell
**Magnetization**: 0.00 μB/cell
**Space group**: No. 2
**DFT formation energy**: -19.4 kJ per mole of atoms

```
NaCoAs
1.0
4.152 0.000 0.000
-0.879 5.653 0.000
-1.248 -1.640 5.394
Na Co As
2 2 2
direct
0.017 0.306 0.198
0.983 0.694 0.802
0.193 0.887 0.389
0.807 0.113 0.611
0.366 0.226 0.729
0.634 0.774 0.271
```


Among the records above, which one has the highest magnetization? BaSr2NpO6